Record 1
# MnV2Fe

A geometry-optimized MnV2Fe structure (GGA-PBE, Alexandria).

Size of the total moment = 8.94 Bohr magnetons per cell
Density = 6.84 g cm⁻³
VASP energy = -8.5566 eV per atom

Cell: 6.408 6.408 5.032 Å, 90.00 90.00 90.00°
Space group I-42d (No. 122)
Inequivalent atoms, fractional coordinates:
Mn (0.000, 0.000, 0.000) (multiplicity 4)
V (0.245, 0.250, 0.625) (multiplicity 8)
Fe (0.000, 0.000, 0.500) (multiplicity 4)

***

Record 2
# MnVFe

A geometry-optimized MnVFe structure (GGA-PBE, Alexandria).

Size of the total moment = 2.61 Bohr magnetons per cell
Density = 7.60 g cm⁻³
VASP energy = -8.9774 eV per atom

Cell: 4.0608 4.0608 2.4734 Å, 90.00 90.00 120.00°
Space group P3m1 (No. 156)
Inequivalent atoms, fractional coordinates:
Mn (0.0000, 0.0000, 0.0000) (multiplicity 1)
V (0.6667, 0.3333, 0.3090) (multiplicity 1)
Fe (0.3333, 0.6667, 0.6216) (multiplicity 1)

***

no.,energy of formation from the pure elements (eV per atom)
1,0.411
2,-0.060